DFT (GGA-PBE) results for BaCaPb2 after structural relaxation.

Calculated values
SG   Pmm2, No. 25
Crystal system   orthorhombic
Energy of formation from the pure elements   -229 meV/atom

Structure (extended XYZ):
```
4
Lattice="4.199 0.000 0.000 0.000 4.698 0.000 0.000 0.000 7.684" Properties=species:S:1:pos:R:3 pbc="T T T"
Ba 0.000 0.000 0.000
Ca 2.099 2.349 2.592
Pb 0.000 0.000 4.002
Pb 2.099 2.349 5.733
```